No. 1
Compound: BaDyPd2
Source: Alexandria via LeMat-Bulk
Functional: PBE-GGA
Structure: optimized geometry

Structure (CIF):
```
data_BaDyPd2
_chemical_formula_sum 'Ba1 Dy1 Pd2'
_cell_length_a 5.2729
_cell_length_b 5.2729
_cell_length_c 3.6163
_cell_angle_alpha 90.00
_cell_angle_beta 90.00
_cell_angle_gamma 90.00
_space_group_name_H-M_alt 'P 4/m m m'
_space_group_IT_number 123
_space_group_name_Hall '-P 4 2'
loop_
_atom_site_label
_atom_site_fract_x
_atom_site_fract_y
_atom_site_fract_z
Ba1 0.0000 0.0000 0.0000
Dy1 0.5000 0.5000 0.0000
Pd1 0.0000 0.5000 0.5000
```

***

No. 2
Compound: BaDy2Pd
Source: Alexandria via LeMat-Bulk
Functional: PBE-GGA
Structure: optimized geometry

Structure (CIF):
```
data_BaDy2Pd
_chemical_formula_sum 'Ba1 Dy2 Pd1'
_cell_length_a 3.6236
_cell_length_b 3.6236
_cell_length_c 9.6709
_cell_angle_alpha 90.00
_cell_angle_beta 90.00
_cell_angle_gamma 90.00
_space_group_name_H-M_alt 'P 4/m m m'
_space_group_IT_number 123
_space_group_name_Hall '-P 4 2'
loop_
_atom_site_label
_atom_site_fract_x
_atom_site_fract_y
_atom_site_fract_z
Ba1 0.0000 0.0000 0.0000
Dy1 0.5000 0.5000 0.3330
Pd1 0.0000 0.0000 0.5000
```

***

No. 3
Compound: BaDyPd2
Source: Alexandria via LeMat-Bulk
Functional: PBE-GGA
Structure: optimized geometry

Structure (CIF):
```
data_BaDyPd2
_chemical_formula_sum 'Ba3 Dy3 Pd6'
_cell_length_a 4.7562
_cell_length_b 4.7562
_cell_length_c 17.5289
_cell_angle_alpha 90.00
_cell_angle_beta 90.00
_cell_angle_gamma 120.00
_space_group_name_H-M_alt 'R -3 m'
_space_group_IT_number 166
_space_group_name_Hall '-R 3 2"'
loop_
_atom_site_label
_atom_site_fract_x
_atom_site_fract_y
_atom_site_fract_z
Ba1 0.0000 0.0000 0.0000
Dy1 0.0000 0.0000 0.5000
Pd1 0.0000 0.0000 0.2103
```

***

No. 4
Compound: BaDyPd2
Source: Alexandria via LeMat-Bulk
Functional: PBE-GGA
Structure: optimized geometry

Structure (CIF):
```
data_BaDyPd2
_chemical_formula_sum 'Ba1 Dy1 Pd2'
_cell_length_a 3.6465
_cell_length_b 3.6465
_cell_length_c 7.6362
_cell_angle_alpha 90.00
_cell_angle_beta 90.00
_cell_angle_gamma 90.00
_space_group_name_H-M_alt 'P 4/m m m'
_space_group_IT_number 123
_space_group_name_Hall '-P 4 2'
loop_
_atom_site_label
_atom_site_fract_x
_atom_site_fract_y
_atom_site_fract_z
Ba1 0.0000 0.0000 0.0000
Dy1 0.0000 0.0000 0.5000
Pd1 0.5000 0.5000 0.3042
```

***

The evaluated ΔE_f for the records listed, in turn: -0.532; -0.305; -0.618; -0.700 eV per atom.
The evaluated raw total energy for the records listed, in turn: -19.039; -17.539; -58.144; -19.709 eV per cell.